Density functional theory data (PBE) for a geometry-optimized NiPSe2 structure.

a b c (Å): 7.7238 7.7238 7.7238
angles (deg): 26.44 26.44 26.44
Closest atoms and distances in Å follow each position.
Sites, in units of the cell vectors:
P  0.0000  0.0000  0.0000  2 Se 2.44
Se  0.8906  0.8906  0.8906  3 Ni 2.41, 1 P 2.44
Se  0.1094  0.1094  0.1094  3 Ni 2.41, 1 P 2.44
Ni  0.5000  0.5000  0.5000  6 Se 2.41

Summary:
- Total DFT energy (no corrections): -4.356 eV/atom
- E_form (uncorrected): 0.184 eV per atom
- Size of the total moment: 0.000 μB/f.u.



Density functional theory data (PBE) for a geometry-optimized Sr2AgHg2 structure.

a b c (Å): 8.7858 8.7858 4.3860
angles (deg): 90.00 90.00 90.00
Closest atoms and distances in Å follow each position.
Sites, in units of the cell vectors:
Sr  0.6678  0.1678  0.0000  2 Ag 3.27, 6 Hg 3.33-3.44
Sr  0.3322  0.8322  0.0000  2 Ag 3.27, 6 Hg 3.33-3.44
Sr  0.1678  0.3322  0.0000  2 Ag 3.27, 6 Hg 3.33-3.44
Sr  0.8322  0.6678  0.0000  2 Ag 3.27, 6 Hg 3.33-3.44
Hg  0.1310  0.6310  0.5000  1 Hg 3.25, 6 Sr 3.33-3.44
Hg  0.3690  0.1310  0.5000  1 Hg 3.25, 6 Sr 3.33-3.44
Hg  0.8690  0.3690  0.5000  1 Hg 3.25, 6 Sr 3.33-3.44
Hg  0.6310  0.8690  0.5000  1 Hg 3.25, 6 Sr 3.33-3.44
Ag  0.0000  0.0000  0.0000  4 Sr 3.27
Ag  0.5000  0.5000  0.0000  4 Sr 3.27

Summary:
- Total DFT energy (no corrections): -1.592 eV/atom
- Offset from the most stable computed form: 206 meV per atom
- Size of the total moment: 0.000 μB/f.u.
- ΔH_f (0 K): -0.23 eV/atom



Density functional theory data (PBE) for a geometry-optimized P2BrCl structure.

a b c (Å): 3.3003 3.3003 8.5704
angles (deg): 90.00 90.00 121.77
Closest atoms and distances in Å follow each position.
Sites, in units of the cell vectors:
Br  0.5000  0.5000  0.2500  4 P 2.71
Cl  0.5000  0.5000  0.7500  4 P 2.64
P  0.0000  0.0000  0.5050  2 Cl 2.64, 2 Br 2.71
P  0.0000  0.0000  0.9950  2 Cl 2.64, 2 Br 2.71

Summary:
- Total DFT energy (no corrections): -2.811 eV/atom
- Offset from the most stable computed form: 1015 meV per atom
- E_form (uncorrected): 0.774 eV per atom
- Size of the total moment: 0.000 μB/f.u.



Density functional theory data (PBE) for a geometry-optimized CoPbBr2 structure.

a b c (Å): 3.3247 3.3250 8.9274
angles (deg): 90.00 90.00 90.00
Closest atoms and distances in Å follow each position.
Sites, in units of the cell vectors:
Co  0.5000  0.5000  0.2500  8 Br 2.84
Br  0.0000  0.0000  0.0710  4 Co 2.84
Br  0.0000  0.0000  0.4290  4 Co 2.84
Pb  0.5000  0.5000  0.7500  4 Pb 3.32, 8 Br 3.71

Summary:
- Total DFT energy (no corrections): -3.342 eV/atom
- Offset from the most stable computed form: 380 meV per atom
- E_form (uncorrected): 0.198 eV per atom
- Size of the total moment: 2.410 μB/f.u.